<one>
Entry from Alexandria via LeMat-Bulk: a relaxed BaTiS2N crystal (PBE).

Unit cell a=4.980 b=4.980 c=4.023 alpha=90.00 beta=90.00 gamma=90.00
Space group P4/mmm (No. 123)
Inequivalent atoms, fractional coordinates:
Ba  0.000  0.000  0.000 [1 per cell]
Ti  0.500  0.500  0.500 [1 per cell]
S  0.000  0.500  0.500 [2 per cell]
N  0.500  0.500  0.000 [1 per cell]

Its theoretical density is 4.4 g/cm³.

<two>
Entry from Alexandria via LeMat-Bulk: a relaxed BaTiS2N crystal (PBE).

Unit cell a=5.680 b=5.680 c=4.553 alpha=90.00 beta=90.00 gamma=90.00
Space group P4/mmm (No. 123)
Inequivalent atoms, fractional coordinates:
Ba  0.000  0.000  0.000 [1 per cell]
Ti  0.500  0.500  0.500 [1 per cell]
S  0.000  0.500  0.000 [2 per cell]
N  0.000  0.000  0.500 [1 per cell]

Its theoretical density is 3.0 g/cm³.

Quick one: most stable of them? <one>

<one>
Entry from Alexandria via LeMat-Bulk: a relaxed BaVS2N crystal (PBE).

Unit cell a=4.957 b=4.957 c=3.808 alpha=90.00 beta=90.00 gamma=90.00
Space group P4/mmm (No. 123)
Inequivalent atoms, fractional coordinates:
Ba  0.000  0.000  0.000 [1 per cell]
V  0.500  0.500  0.500 [1 per cell]
S  0.000  0.500  0.500 [2 per cell]
N  0.500  0.500  0.000 [1 per cell]

Its theoretical density is 4.7 g/cm³.

<two>
Entry from Alexandria via LeMat-Bulk: a relaxed BaVS2N crystal (PBE).

Unit cell a=5.615 b=5.615 c=4.316 alpha=90.00 beta=90.00 gamma=90.00
Space group P4/mmm (No. 123)
Inequivalent atoms, fractional coordinates:
Ba  0.000  0.000  0.000 [1 per cell]
V  0.500  0.500  0.500 [1 per cell]
S  0.000  0.500  0.000 [2 per cell]
N  0.000  0.000  0.500 [1 per cell]

Its theoretical density is 3.3 g/cm³.

Quick one: most stable of them? <one>

<one>
Entry from Alexandria via LeMat-Bulk: a relaxed BaVSN2 crystal (PBE).

Unit cell a=4.504 b=4.504 c=6.092 alpha=90.00 beta=90.00 gamma=90.00
Space group P4/mmm (No. 123)
Inequivalent atoms, fractional coordinates:
Ba  0.000  0.000  0.000 [1 per cell]
V  0.500  0.500  0.500 [1 per cell]
S  0.000  0.000  0.500 [1 per cell]
N  0.000  0.500  0.000 [2 per cell]

Its theoretical density is 3.3 g/cm³.

<two>
Entry from Alexandria via LeMat-Bulk: a relaxed BaVSN2 crystal (PBE).

Unit cell a=4.078 b=4.078 c=4.847 alpha=90.00 beta=90.00 gamma=90.00
Space group P4/mmm (No. 123)
Inequivalent atoms, fractional coordinates:
Ba  0.000  0.000  0.000 [1 per cell]
V  0.500  0.500  0.500 [1 per cell]
S  0.500  0.500  0.000 [1 per cell]
N  0.000  0.500  0.500 [2 per cell]

Its theoretical density is 5.1 g/cm³.

Quick one: most stable of them? <two>

<one>
Entry from Alexandria via LeMat-Bulk: a relaxed BaWSN2 crystal (PBE).

Unit cell a=4.346 b=4.346 c=5.849 alpha=90.00 beta=90.00 gamma=90.00
Space group P4/mmm (No. 123)
Inequivalent atoms, fractional coordinates:
Ba  0.000  0.000  0.000 [1 per cell]
W  0.500  0.500  0.500 [1 per cell]
S  0.000  0.000  0.500 [1 per cell]
N  0.000  0.500  0.000 [2 per cell]

Its theoretical density is 5.7 g/cm³.

<two>
Entry from Alexandria via LeMat-Bulk: a relaxed BaWSN2 crystal (PBE).

Unit cell a=4.125 b=4.125 c=4.900 alpha=90.00 beta=90.00 gamma=90.00
Space group P4/mmm (No. 123)
Inequivalent atoms, fractional coordinates:
Ba  0.000  0.000  0.000 [1 per cell]
W  0.500  0.500  0.500 [1 per cell]
S  0.500  0.500  0.000 [1 per cell]
N  0.000  0.500  0.500 [2 per cell]

Its theoretical density is 7.6 g/cm³.

Quick one: most stable of them? <two>

<one>
Entry from Alexandria via LeMat-Bulk: a relaxed BaYS2N crystal (PBE).

Unit cell a=5.358 b=5.358 c=4.546 alpha=90.00 beta=90.00 gamma=90.00
Space group P4/mmm (No. 123)
Inequivalent atoms, fractional coordinates:
Ba  0.000  0.000  0.000 [1 per cell]
Y  0.500  0.500  0.500 [1 per cell]
S  0.000  0.500  0.500 [2 per cell]
N  0.500  0.500  0.000 [1 per cell]

Its theoretical density is 3.9 g/cm³.

<two>
Entry from Alexandria via LeMat-Bulk: a relaxed BaYS2N crystal (PBE).

Unit cell a=5.578 b=5.578 c=4.323 alpha=90.00 beta=90.00 gamma=90.00
Space group P4/mmm (No. 123)
Inequivalent atoms, fractional coordinates:
Ba  0.000  0.000  0.000 [1 per cell]
Y  0.500  0.500  0.500 [1 per cell]
S  0.000  0.500  0.000 [2 per cell]
N  0.000  0.000  0.500 [1 per cell]

Its theoretical density is 3.8 g/cm³.

Quick one: most stable of them? <one>

<one>
Entry from Alexandria via LeMat-Bulk: a relaxed BaYSN2 crystal (PBE).

Unit cell a=4.439 b=4.439 c=5.878 alpha=90.00 beta=90.00 gamma=90.00
Space group P4/mmm (No. 123)
Inequivalent atoms, fractional coordinates:
Ba  0.000  0.000  0.000 [1 per cell]
Y  0.500  0.500  0.500 [1 per cell]
S  0.000  0.000  0.500 [1 per cell]
N  0.000  0.500  0.000 [2 per cell]

Its theoretical density is 4.1 g/cm³.

<two>
Entry from Alexandria via LeMat-Bulk: a relaxed BaYSN2 crystal (PBE).

Unit cell a=4.624 b=4.624 c=5.361 alpha=90.00 beta=90.00 gamma=90.00
Space group P4/mmm (No. 123)
Inequivalent atoms, fractional coordinates:
Ba  0.000  0.000  0.000 [1 per cell]
Y  0.500  0.500  0.500 [1 per cell]
S  0.500  0.500  0.000 [1 per cell]
N  0.000  0.500  0.500 [2 per cell]

Its theoretical density is 4.1 g/cm³.

Quick one: most stable of them? <two>